## USnPt4 (PBE-GGA)

Data for a relaxed structure of USnPt4.

The structure in CIF format:
```
data_USnPt4
_cell_length_a 7.6503
_cell_length_b 7.6503
_cell_length_c 7.6503
_cell_angle_alpha 90.00
_cell_angle_beta 90.00
_cell_angle_gamma 90.00
_symmetry_space_group_name_H-M 'F -4 3 m'
_symmetry_Int_Tables_number 216
_symmetry_space_group_name_Hall 'F -4 2 3'
loop_
_atom_site_label
_atom_site_type_symbol
_atom_site_fract_x
_atom_site_fract_y
_atom_site_fract_z
U1 U 0.0000 0.0000 0.0000
Sn1 Sn 0.2500 0.2500 0.2500
Pt1 Pt 0.1250 0.1250 0.6250
```

Output
* ΔH_f (0 K): -12.648 kcal/mol of atoms
* V: 18.7 Å³/atom
* E_tot: -7.124 eV/atom


## SrTb6Nd8 (PBE-GGA)

Data for a relaxed structure of SrTb6Nd8.

The structure in CIF format:
```
data_SrTb6Nd8
_cell_length_a 9.8788
_cell_length_b 9.8788
_cell_length_c 18.3546
_cell_angle_alpha 90.00
_cell_angle_beta 90.00
_cell_angle_gamma 120.00
_symmetry_space_group_name_H-M 'R -3'
_symmetry_Int_Tables_number 148
_symmetry_space_group_name_Hall '-R 3'
loop_
_atom_site_label
_atom_site_type_symbol
_atom_site_fract_x
_atom_site_fract_y
_atom_site_fract_z
Sr1 Sr 0.0000 0.0000 0.0000
Tb1 Tb 0.0253 0.7914 0.4085
Nd1 Nd 0.0000 0.0000 0.2388
Nd2 Nd 0.0452 0.7591 0.9006
```

Output
* ΔH_f (0 K): 4.515 kcal/mol of atoms
* V: 34.5 Å³/atom
* E_tot: -4.311 eV/atom


## BaAlGaPd3 (PBE-GGA)

Data for a relaxed structure of BaAlGaPd3.

The structure in CIF format:
```
data_BaAlGaPd3
_cell_length_a 6.8573
_cell_length_b 13.1844
_cell_length_c 5.9542
_cell_angle_alpha 90.00
_cell_angle_beta 90.00
_cell_angle_gamma 90.00
_symmetry_space_group_name_H-M 'C m c m'
_symmetry_Int_Tables_number 63
_symmetry_space_group_name_Hall '-C 2c 2'
loop_
_atom_site_label
_atom_site_type_symbol
_atom_site_fract_x
_atom_site_fract_y
_atom_site_fract_z
Ba1 Ba 0.0000 0.2348 0.2500
Al1 Al 0.0000 0.4872 0.7500
Ga1 Ga 0.0000 0.1120 0.7500
Pd1 Pd 0.0000 0.3013 0.7500
Pd2 Pd 0.2119 0.0000 0.0000
```

Output
* ΔH_f (0 K): -13.566 kcal/mol of atoms
* V: 22.4 Å³/atom
* E_tot: -4.633 eV/atom


## CeHf2Nb (PBE-GGA)

Data for a relaxed structure of CeHf2Nb.

The structure in CIF format:
```
data_CeHf2Nb
_cell_length_a 3.4639
_cell_length_b 3.4639
_cell_length_c 7.6322
_cell_angle_alpha 90.00
_cell_angle_beta 90.00
_cell_angle_gamma 90.00
_symmetry_space_group_name_H-M 'P 4/m m m'
_symmetry_Int_Tables_number 123
_symmetry_space_group_name_Hall '-P 4 2'
loop_
_atom_site_label
_atom_site_type_symbol
_atom_site_fract_x
_atom_site_fract_y
_atom_site_fract_z
Ce1 Ce 0.0000 0.0000 0.0000
Hf1 Hf 0.5000 0.5000 0.2914
Nb1 Nb 0.0000 0.0000 0.5000
```

Output
* ΔH_f (0 K): 2.857 kcal/mol of atoms
* V: 22.9 Å³/atom
* E_tot: -8.854 eV/atom


no.,Fermi-level density of states (states/eV per cell),density (g/cm³)
1,35.01,16.87
2,62.00,7.05
3,8.04,6.83
4,7.15,10.70